# LiSm2GaS5

An optimized crystal structure of LiSm2GaS5 (PBE, Alexandria via LeMat-Bulk).

Properties
Calculated total energy = -98.16 eV for the cell shown
Uncorrected formation energy = -1.56 eV/atom
Symmetry = Cmc2_1

```
18
Lattice="1.916 -8.457 0.000 1.916 8.457 0.000 0.000 0.000 11.327" Properties=species:S:1:pos:R:3 pbc="T T T"
Li 1.916 4.830 5.663
Li 1.916 -4.830 0.000
Sm 1.916 6.401 1.843
Sm 1.916 6.194 8.895
Sm 1.916 -6.194 3.232
Sm 1.916 -6.401 7.506
Ga 1.916 1.134 10.597
Ga 1.916 -1.134 4.933
S 1.916 7.716 6.179
S 1.916 3.523 1.687
S 1.916 3.118 9.439
S 1.916 2.405 5.442
S 1.916 0.014 2.950
S 1.916 -0.014 8.614
S 1.916 -2.405 11.106
S 1.916 -3.118 3.776
S 1.916 -3.523 7.350
S 1.916 -7.716 0.515
```

---

# Li3Sm3GaS8

An optimized crystal structure of Li3Sm3GaS8 (PBE, Alexandria via LeMat-Bulk).

Properties
Calculated total energy = -77.40 eV for the cell shown
Uncorrected formation energy = -1.43 eV/atom
Symmetry = R-3m

```
15
Lattice="3.966 2.290 6.008 -3.966 2.290 6.008 0.000 -4.580 6.008" Properties=species:S:1:pos:R:3 pbc="T T T"
Li -1.983 -1.145 6.008
Li -1.983 1.145 12.015
Li 0.000 2.290 6.008
Sm -3.966 0.000 9.011
Sm -1.983 1.145 3.004
Sm 1.983 1.145 3.004
Ga 0.000 0.000 9.011
S 0.000 0.000 4.555
S 0.000 -2.074 7.556
S -1.796 1.037 7.556
S -1.796 -1.037 10.467
S 1.796 1.037 7.556
S 1.796 -1.037 10.467
S 0.000 2.074 10.467
S 0.000 0.000 13.468
```

---

# Li3Tb3GaS8

An optimized crystal structure of Li3Tb3GaS8 (PBE, Alexandria via LeMat-Bulk).

Properties
Calculated total energy = -77.64 eV for the cell shown
Uncorrected formation energy = -1.46 eV/atom
Symmetry = R-3m

```
15
Lattice="3.895 2.249 6.031 -3.895 2.249 6.031 0.000 -4.497 6.031" Properties=species:S:1:pos:R:3 pbc="T T T"
Li -1.947 -1.124 6.031
Li -1.947 1.124 12.061
Li 0.000 2.249 6.031
Tb -3.895 0.000 9.046
Tb -1.947 1.124 3.015
Tb 1.947 1.124 3.015
Ga 0.000 0.000 9.046
S 0.000 0.000 4.550
S 0.000 -2.070 7.593
S -1.793 1.035 7.593
S -1.793 -1.035 10.499
S 1.793 1.035 7.593
S 1.793 -1.035 10.499
S 0.000 2.070 10.499
S 0.000 0.000 13.542
```

---

# Li2TbGaS4

An optimized crystal structure of Li2TbGaS4 (PBE, Alexandria via LeMat-Bulk).

Properties
Calculated total energy = -76.80 eV for the cell shown
Uncorrected formation energy = -1.30 eV/atom
Symmetry = Imma

```
16
Lattice="-3.654 3.879 5.328 3.654 -3.879 5.328 3.654 3.879 -5.328" Properties=species:S:1:pos:R:3 pbc="T T T"
Li 0.000 0.000 0.000
Li -1.827 1.940 2.664
Li 0.000 3.879 0.000
Li 1.827 1.940 2.664
Tb 3.654 0.000 0.000
Tb 0.000 0.000 5.328
Ga 1.827 1.940 -2.664
Ga 1.827 -1.940 2.664
S 3.654 3.631 -2.737
S 3.654 -0.248 2.737
S 1.767 1.940 0.028
S 1.887 -1.940 5.357
S 1.767 5.819 -0.028
S 1.887 1.940 5.300
S 0.000 4.127 2.591
S 0.000 0.248 8.065
```